The following is a DFT calculation (PBE-GGA) of crystalline Re2RuPb at its relaxed geometry.

Summary:
Uncorrected energy: -35.82 eV/f.u.
Energy of formation from the pure elements: 516 meV per atom
Total moment: 0.000 μB/atom

Cell lengths 2.975, 2.975, 7.673 Å; angles 90.00, 90.00, 90.00 degrees
Atoms (fractional coordinates):
Re  0.000  0.000  0.000
Re  0.500  0.500  0.212
Ru  0.000  0.000  0.436
Pb  0.500  0.500  0.707

The following is a DFT calculation (PBE-GGA) of crystalline Cs2GaSiSe4 at its relaxed geometry.

Summary:
Uncorrected energy: -30.42 eV/f.u.
Raw formation energy: -0.79 eV/atom
Total moment: 0.000 μB/atom

Cell lengths 14.792, 13.165, 8.041 Å; angles 84.80, 62.42, 32.78 degrees
Atoms (fractional coordinates):
Cs  0.054  0.054  0.696
Cs  0.304  0.304  0.946
Cs  0.696  0.696  0.054
Cs  0.946  0.946  0.304
Ga  0.125  0.125  0.125
Ga  0.875  0.875  0.875
Si  0.375  0.375  0.375
Si  0.625  0.625  0.625
Se  0.016  0.338  0.416
Se  0.269  0.584  0.662
Se  0.338  0.016  0.731
Se  0.416  0.731  0.016
Se  0.584  0.269  0.984
Se  0.662  0.984  0.269
Se  0.731  0.416  0.338
Se  0.984  0.662  0.584

The following is a DFT calculation (PBE-GGA) of crystalline MnSiOs2 at its relaxed geometry.

Summary:
Uncorrected energy: -36.20 eV/f.u.
Raw formation energy: 0.21 eV/atom
Total moment: 0.915 μB/atom

Cell lengths 2.776, 2.776, 8.203 Å; angles 90.00, 90.00, 117.09 degrees
Atoms (fractional coordinates):
Mn  0.000  0.000  0.000
Si  0.000  0.000  0.500
Os  0.500  0.500  0.266
Os  0.500  0.500  0.734

The following is a DFT calculation (PBE-GGA) of crystalline Ba3LiTl at its relaxed geometry.

Summary:
Uncorrected energy: -10.91 eV/f.u.
Energy of formation from the pure elements: -173 meV per atom
Total moment: 0.000 μB/atom
Excess energy over the best structure of this formula in the dataset: 0.000 eV/atom

Cell lengths 12.384, 12.384, 6.096 Å; angles 90.00, 90.00, 151.48 degrees
Atoms (fractional coordinates):
Ba  0.073  0.927  0.750
Ba  0.249  0.751  0.750
Ba  0.425  0.575  0.750
Ba  0.575  0.425  0.250
Ba  0.751  0.249  0.250
Ba  0.927  0.073  0.250
Li  0.339  0.661  0.250
Li  0.661  0.339  0.750
Tl  0.157  0.843  0.250
Tl  0.843  0.157  0.750

The following is a DFT calculation (PBE-GGA) of crystalline KTa3P at its relaxed geometry.

Summary:
Uncorrected energy: -26.45 eV/f.u.
Energy of formation from the pure elements: 3123 meV per atom
Total moment: 0.000 μB/atom
Excess energy over the best structure of this formula in the dataset: 2.171 eV/atom

Cell lengths 4.634, 4.634, 4.634 Å; angles 90.00, 90.00, 90.00 degrees
Atoms (fractional coordinates):
K  0.000  0.000  0.000
Ta  0.000  0.000  0.500
Ta  0.000  0.500  0.000
Ta  0.500  0.000  0.000
P  0.500  0.500  0.500

The following is a DFT calculation (PBE-GGA) of crystalline Li2Fe2Rh15 at its relaxed geometry.

Summary:
Uncorrected energy: -125.28 eV/f.u.
Energy of formation from the pure elements: 302 meV per atom
Total moment: 0.494 μB/atom

Cell lengths 6.734, 6.734, 6.734 Å; angles 81.19, 81.19, 81.19 degrees
Atoms (fractional coordinates):
Li  0.089  0.089  0.089
Li  0.911  0.911  0.911
Fe  0.289  0.289  0.289
Fe  0.711  0.711  0.711
Rh  0.000  0.000  0.500
Rh  0.000  0.347  0.653
Rh  0.000  0.500  0.000
Rh  0.000  0.653  0.347
Rh  0.171  0.673  0.673
Rh  0.327  0.327  0.829
Rh  0.327  0.829  0.327
Rh  0.347  0.000  0.653
Rh  0.347  0.653  0.000
Rh  0.500  0.000  0.000
Rh  0.653  0.000  0.347
Rh  0.653  0.347  0.000
Rh  0.673  0.171  0.673
Rh  0.673  0.673  0.171
Rh  0.829  0.327  0.327

The following is a DFT calculation (PBE-GGA) of crystalline UFeGeH2 at its relaxed geometry.

Summary:
Uncorrected energy: -32.46 eV/f.u.
Total moment: 0.527 μB/atom

Cell lengths 5.539, 5.539, 5.543 Å; angles 90.00, 90.00, 138.99 degrees
Atoms (fractional coordinates):
U  0.211  0.789  0.750
U  0.789  0.211  0.250
Fe  0.500  0.500  0.000
Fe  0.500  0.500  0.500
Ge  0.073  0.927  0.250
Ge  0.927  0.073  0.750
H  0.344  0.656  0.066
H  0.344  0.656  0.434
H  0.656  0.344  0.566
H  0.656  0.344  0.934

The following is a DFT calculation (PBE-GGA) of crystalline LaZr2Zn at its relaxed geometry.

Summary:
Uncorrected energy: -22.92 eV/f.u.
Energy of formation from the pure elements: 95 meV per atom
Total moment: 0.000 μB/atom

Cell lengths 3.327, 5.050, 5.908 Å; angles 90.00, 101.56, 90.00 degrees
Atoms (fractional coordinates):
La  0.000  0.000  0.000
Zr  0.336  0.500  0.722
Zr  0.664  0.500  0.278
Zn  0.500  0.000  0.500

The following is a DFT calculation (PBE-GGA) of crystalline ZnSnOs2 at its relaxed geometry.

Summary:
Uncorrected energy: -25.13 eV/f.u.
Energy of formation from the pure elements: 652 meV per atom
Total moment: 0.000 μB/atom

Cell lengths 9.465, 9.465, 9.465 Å; angles 155.29, 155.29, 35.23 degrees
Atoms (fractional coordinates):
Zn  0.000  0.000  0.000
Zn  0.750  0.250  0.500
Sn  0.250  0.750  0.500
Sn  0.500  0.500  0.000
Os  0.044  0.625  0.919
Os  0.375  0.294  0.419
Os  0.706  0.125  0.081
Os  0.875  0.956  0.581

The following is a DFT calculation (PBE-GGA) of crystalline Sm4Sc5 at its relaxed geometry.

Summary:
Uncorrected energy: -49.98 eV/f.u.
Energy of formation from the pure elements: 62 meV per atom
Total moment: 0.000 μB/atom

Cell lengths 7.636, 7.636, 7.636 Å; angles 95.85, 95.85, 142.77 degrees
Atoms (fractional coordinates):
Sm  0.000  0.325  0.325
Sm  0.000  0.675  0.675
Sm  0.325  0.000  0.325
Sm  0.675  0.000  0.675
Sc  0.000  0.000  0.000
Sc  0.337  0.337  0.675
Sc  0.337  0.663  0.000
Sc  0.663  0.337  0.000
Sc  0.663  0.663  0.325

The following is a DFT calculation (PBE-GGA) of crystalline CsNpNiSe4 at its relaxed geometry.

Summary:
Uncorrected energy: -39.32 eV/f.u.
Raw formation energy: -0.83 eV/atom
Total moment: 0.203 μB/atom

Cell lengths 6.944, 5.864, 9.978 Å; angles 90.00, 104.96, 90.00 degrees
Atoms (fractional coordinates):
Cs  0.238  0.250  0.046
Cs  0.762  0.750  0.954
Np  0.263  0.250  0.547
Np  0.737  0.750  0.453
Ni  0.252  0.750  0.353
Ni  0.748  0.250  0.647
Se  0.012  0.508  0.692
Se  0.012  0.992  0.692
Se  0.423  0.750  0.584
Se  0.462  0.750  0.203
Se  0.538  0.250  0.797
Se  0.577  0.250  0.416
Se  0.988  0.008  0.308
Se  0.988  0.492  0.308

The following is a DFT calculation (PBE-GGA) of crystalline Hg2AsC at its relaxed geometry.

Summary:
Uncorrected energy: -9.36 eV/f.u.
Energy of formation from the pure elements: 1280 meV per atom
Total moment: 0.000 μB/atom
Excess energy over the best structure of this formula in the dataset: 0.000 eV/atom

Cell lengths 6.549, 6.549, 6.549 Å; angles 125.67, 125.67, 80.44 degrees
Atoms (fractional coordinates):
Hg  0.048  0.625  0.923
Hg  0.375  0.298  0.423
Hg  0.702  0.125  0.077
Hg  0.875  0.952  0.577
As  0.250  0.750  0.500
As  0.500  0.500  0.000
C  0.000  0.000  0.000
C  0.750  0.250  0.500

The following is a DFT calculation (PBE-GGA) of crystalline TmCdPd5 at its relaxed geometry.

Summary:
Uncorrected energy: -34.50 eV/f.u.
Energy of formation from the pure elements: -449 meV per atom
Total moment: 0.000 μB/atom
Excess energy over the best structure of this formula in the dataset: 0.000 eV/atom

Cell lengths 4.777, 4.777, 7.171 Å; angles 116.34, 116.34, 69.12 degrees
Atoms (fractional coordinates):
Tm  0.000  0.000  0.000
Cd  0.480  0.480  0.672
Pd  0.130  0.637  0.286
Pd  0.149  0.149  0.707
Pd  0.528  0.528  0.075
Pd  0.637  0.130  0.286
Pd  0.750  0.750  0.537

The following is a DFT calculation (PBE-GGA) of crystalline TiBiS3 at its relaxed geometry.

Summary:
Uncorrected energy: -26.61 eV/f.u.
Raw formation energy: -0.49 eV/atom
Total moment: 0.000 μB/atom
Excess energy over the best structure of this formula in the dataset: 0.341 eV/atom

Cell lengths 4.732, 4.732, 4.732 Å; angles 90.00, 90.00, 90.00 degrees
Atoms (fractional coordinates):
Ti  0.000  0.000  0.000
Bi  0.500  0.500  0.500
S  0.000  0.000  0.500
S  0.000  0.500  0.000
S  0.500  0.000  0.000

The following is a DFT calculation (PBE-GGA) of crystalline TaAlBi2 at its relaxed geometry.

Summary:
Uncorrected energy: -19.92 eV/f.u.
Energy of formation from the pure elements: 858 meV per atom
Total moment: 0.491 μB/atom

Cell lengths 7.964, 7.964, 7.964 Å; angles 131.40, 131.40, 71.18 degrees
Atoms (fractional coordinates):
Ta  0.000  0.000  0.000
Ta  0.750  0.250  0.500
Al  0.250  0.750  0.500
Al  0.500  0.500  0.000
Bi  0.125  0.625  0.000
Bi  0.375  0.375  0.500
Bi  0.625  0.125  0.000
Bi  0.875  0.875  0.500

The following is a DFT calculation (PBE-GGA) of crystalline AcPrLu at its relaxed geometry.

Summary:
Uncorrected energy: -13.22 eV/f.u.
Energy of formation from the pure elements: 63 meV per atom
Total moment: 0.000 μB/atom
Excess energy over the best structure of this formula in the dataset: 0.000 eV/atom

Cell lengths 8.154, 8.154, 8.154 Å; angles 153.22, 153.22, 38.24 degrees
Atoms (fractional coordinates):
Ac  0.000  0.000  0.000
Pr  0.677  0.677  0.000
Lu  0.332  0.332  0.000

The following is a DFT calculation (PBE-GGA) of crystalline KInI2N at its relaxed geometry.

Summary:
Uncorrected energy: -12.95 eV/f.u.
Raw formation energy: 0.46 eV/atom
Total moment: 0.607 μB/atom
Excess energy over the best structure of this formula in the dataset: 0.559 eV/atom

Cell lengths 6.612, 6.612, 5.245 Å; angles 90.00, 90.00, 90.00 degrees
Atoms (fractional coordinates):
K  0.000  0.000  0.000
In  0.500  0.500  0.500
I  0.000  0.500  0.000
I  0.500  0.000  0.000
N  0.000  0.000  0.500

The following is a DFT calculation (PBE-GGA) of crystalline InHgNF2 at its relaxed geometry.

Summary:
Uncorrected energy: -18.34 eV/f.u.
Raw formation energy: -0.65 eV/atom
Total moment: 0.051 μB/atom
Excess energy over the best structure of this formula in the dataset: 0.000 eV/atom

Cell lengths 4.234, 4.234, 4.414 Å; angles 90.00, 90.00, 90.00 degrees
Atoms (fractional coordinates):
In  0.000  0.000  0.000
Hg  0.500  0.500  0.500
N  0.000  0.000  0.500
F  0.000  0.500  0.000
F  0.500  0.000  0.000

The following is a DFT calculation (PBE-GGA) of crystalline PrHgPd2 at its relaxed geometry.

Summary:
Uncorrected energy: -17.45 eV/f.u.
Energy of formation from the pure elements: -495 meV per atom
Total moment: 0.000 μB/atom

Cell lengths 4.594, 4.594, 4.002 Å; angles 90.00, 90.00, 90.00 degrees
Atoms (fractional coordinates):
Pr  0.000  0.000  0.000
Hg  0.500  0.500  0.000
Pd  0.000  0.500  0.500
Pd  0.500  0.000  0.500

The following is a DFT calculation (PBE-GGA) of crystalline CaLa2Tl at its relaxed geometry.

Summary:
Uncorrected energy: -14.87 eV/f.u.
Energy of formation from the pure elements: -163 meV per atom
Total moment: 0.000 μB/atom
Excess energy over the best structure of this formula in the dataset: 0.036 eV/atom

Cell lengths 6.852, 6.852, 6.852 Å; angles 145.30, 130.67, 61.72 degrees
Atoms (fractional coordinates):
Ca  0.000  0.000  0.000
La  0.445  0.445  0.000
La  0.719  0.219  0.500
Tl  0.212  0.712  0.500